The following is a DFT calculation (PBE-GGA) of TiAgICl4 after structural relaxation.

Geometry as POSCAR:
```
TiAgICl4
1.0
8.3753 -3.7300 0.0000
8.3753 3.7300 0.0000
-0.0013 0.0000 9.3344
Ti Ag I Cl
2 2 2 8
direct
0.1462 0.1462 0.2893
0.8538 0.8538 0.7107
0.4261 0.4261 0.9218
0.5739 0.5739 0.0782
0.4284 0.4284 0.2198
0.5716 0.5716 0.7802
0.0169 0.0169 0.2946
0.0573 0.5712 0.8261
0.1929 0.1929 0.5071
0.4288 0.9427 0.1739
0.5712 0.0573 0.8261
0.8071 0.8071 0.4929
0.9427 0.4288 0.1739
0.9831 0.9831 0.7054
```

Values from the calculation:
formation energy from raw total energies = -7.9 eV/f.u.


The following is a DFT calculation (PBE-GGA) of Tl2AgI2Cl2 after structural relaxation.

Geometry as POSCAR:
```
Tl2AgI2Cl2
1.0
5.2594 0.0000 0.0000
0.0000 5.2594 0.0000
0.0000 0.0000 17.1407
Tl Ag I Cl
4 2 4 4
direct
0.0000 0.0000 0.1263
0.0000 0.0000 0.8737
0.5000 0.5000 0.3737
0.5000 0.5000 0.6263
0.0000 0.0000 0.5000
0.5000 0.5000 0.0000
0.0000 0.0000 0.3334
0.0000 0.0000 0.6666
0.5000 0.5000 0.1666
0.5000 0.5000 0.8334
0.0000 0.5000 0.0000
0.0000 0.5000 0.5000
0.5000 0.0000 0.0000
0.5000 0.0000 0.5000
```

Values from the calculation:
formation energy from raw total energies = -4.0 eV/f.u.